Compound: RbInPS2
Source: Alexandria
Functional: PBE
Structure: relaxed

Summary:
* E: -2.3263 eV per atom
* formation energy without anion corrections: 1.1479 eV/atom
* energy relative to the lowest polymorph listed for this composition: 1.0624 eV per atom

Cell: 6.0905 6.0905 6.2489 Å, 90.00 90.00 90.00°
Space group P4/mmm (No. 123)
Asymmetric unit:
Rb  0.0000  0.0000  0.0000 [1 per cell]
In  0.5000  0.5000  0.5000 [1 per cell]
P  0.0000  0.0000  0.5000 [1 per cell]
S  0.0000  0.5000  0.0000 [2 per cell]